Computed, not measured: an optimized crystal structure of CaAl2Si2 at the PBE level of DFT.

```
data_CaAl2Si2
_chemical_formula_sum 'Ca2 Al4 Si4'
_cell_length_a 4.173
_cell_length_b 4.173
_cell_length_c 14.072
_cell_angle_alpha 90.00
_cell_angle_beta 90.00
_cell_angle_gamma 120.00
_symmetry_space_group_name_H-M 'P 1'
_symmetry_Int_Tables_number 1
_symmetry_space_group_name_Hall 'P 1'
loop_
_atom_site_label
_atom_site_type_symbol
_atom_site_fract_x
_atom_site_fract_y
_atom_site_fract_z
Ca1 Ca 0.000 0.000 0.250
Ca2 Ca 0.000 0.000 0.750
Al1 Al 0.333 0.667 0.067
Al2 Al 0.333 0.667 0.433
Al3 Al 0.667 0.333 0.567
Al4 Al 0.667 0.333 0.933
Si1 Si 0.333 0.667 0.617
Si2 Si 0.333 0.667 0.883
Si3 Si 0.667 0.333 0.117
Si4 Si 0.667 0.333 0.383
```

Properties
Its magnetic moment is 0.000 μB/cell. As for the total energy: -4.3404 eV/atom. The volume comes out at 212 Å³ per cell. The value obtained for the energy relative to the elements, uncorrected is -0.27 eV/atom.